1.
# Tb4Ho15Sc

A relaxed structure of Tb4Ho15Sc (PBE-GGA, Alexandria via LeMat-Bulk).

Cell: 4.9796 4.9796 24.8572 Å, 90.00 90.00 90.00°
Fractional coordinates of all 20 atoms:
Tb 0.0000 0.0000 0.1008
Tb 0.0000 0.0000 0.3020
Tb 0.0000 0.0000 0.6980
Tb 0.0000 0.0000 0.8992
Ho 0.0000 0.5000 0.0000
Ho 0.0000 0.5000 0.2017
Ho 0.0000 0.5000 0.4034
Ho 0.0000 0.5000 0.5966
Ho 0.0000 0.5000 0.7983
Ho 0.5000 0.0000 0.0000
Ho 0.5000 0.0000 0.2017
Ho 0.5000 0.0000 0.4034
Ho 0.5000 0.0000 0.5966
Ho 0.5000 0.0000 0.7983
Ho 0.5000 0.5000 0.1008
Ho 0.5000 0.5000 0.3026
Ho 0.5000 0.5000 0.5000
Ho 0.5000 0.5000 0.6974
Ho 0.5000 0.5000 0.8992
Sc 0.0000 0.0000 0.5000

Values from the calculation:
ΔH_f (0 K) in eV/atom: 0.024
Magnetic moment in Bohr magnetons per cell: 0.000
Energy in eV per atom: -4.65
DOS(E_F) in states/eV/cell: 26.57

---

2.
# Sr2GaAu

A relaxed structure of Sr2GaAu (PBE-GGA, Alexandria via LeMat-Bulk).

Cell: 3.9090 3.9090 7.5983 Å, 90.00 90.00 90.00°
Fractional coordinates of all 4 atoms:
Sr 0.0000 0.0000 0.2473
Sr 0.0000 0.0000 0.7527
Ga 0.5000 0.5000 0.5000
Au 0.5000 0.5000 0.0000

Values from the calculation:
ΔH_f (0 K) in eV/atom: -0.532
Magnetic moment in Bohr magnetons per cell: 0.000
Energy in eV per atom: -2.95
DOS(E_F) in states/eV/cell: 2.71